# 1
A plane-wave DFT calculation with SCAN was carried out for CdBrO2 at its PBEsol-relaxed geometry.

Uncorrected energy ... -15.1472 eV/atom
M_tot ... 3.026 Bohr magnetons per cell
Space group ... Fm-3m, No. 225
Uncorrected formation energy ... 1.748 eV/f.u.
Offset from the most stable computed form ... 979.7 meV per atom

The structure in POSCAR format:
```
CdBrO2
1.0
0.000 2.981 2.981
2.981 0.000 2.981
2.981 2.981 0.000
Cd Br O
1 1 2
direct
0.000 0.000 0.000 Cd
0.500 0.500 0.500 Br
0.250 0.250 0.250 O
0.750 0.750 0.750 O
```


# 2
A plane-wave DFT calculation with SCAN was carried out for NaCoS2N at its PBEsol-relaxed geometry.

Uncorrected energy ... -9.9078 eV/atom
M_tot ... 0.000 Bohr magnetons per cell
Space group ... P4/mmm, No. 123
Uncorrected formation energy ... 0.527 eV/f.u.

The structure in POSCAR format:
```
NaCoS2N
1.0
4.773 0.000 0.000
0.000 4.773 0.000
0.000 0.000 3.333
Na Co S N
1 1 2 1
direct
0.000 0.000 0.000 Na
0.500 0.500 0.500 Co
0.000 0.500 0.500 S
0.500 0.000 0.500 S
0.500 0.500 0.000 N
```


# 3
A plane-wave DFT calculation with SCAN was carried out for Li2RhF6 at its PBEsol-relaxed geometry.

Uncorrected energy ... -9.0430 eV/atom
M_tot ... 2.001 Bohr magnetons per cell
Space group ... P4_2/mnm, No. 136
Uncorrected formation energy ... -21.595 eV/f.u.

The structure in POSCAR format:
```
Li2RhF6
1.0
4.610 0.000 0.000
0.000 4.610 0.000
0.000 0.000 9.052
Li Rh F
4 2 12
direct
0.000 0.000 0.166 Li
0.000 0.000 0.834 Li
0.500 0.500 0.334 Li
0.500 0.500 0.666 Li
0.000 0.000 0.500 Rh
0.500 0.500 0.000 Rh
0.195 0.195 0.340 F
0.195 0.195 0.660 F
0.208 0.208 0.000 F
0.292 0.708 0.500 F
0.305 0.695 0.160 F
0.305 0.695 0.840 F
0.695 0.305 0.160 F
0.695 0.305 0.840 F
0.708 0.292 0.500 F
0.792 0.792 0.000 F
0.805 0.805 0.340 F
0.805 0.805 0.660 F
```


# 4
A plane-wave DFT calculation with SCAN was carried out for ScSiPt at its PBEsol-relaxed geometry.

Uncorrected energy ... -32.8869 eV/atom
M_tot ... 0.000 Bohr magnetons per cell
Space group ... Pnma, No. 62
Uncorrected formation energy ... -4.215 eV/f.u.

The structure in POSCAR format:
```
ScSiPt
1.0
6.522 0.000 0.000
0.000 4.125 0.000
0.000 0.000 7.238
Sc Si Pt
4 4 4
direct
0.001 0.250 0.200 Sc
0.499 0.750 0.700 Sc
0.501 0.250 0.300 Sc
0.999 0.750 0.800 Sc
0.193 0.250 0.592 Si
0.307 0.750 0.092 Si
0.693 0.250 0.908 Si
0.807 0.750 0.408 Si
0.199 0.750 0.416 Pt
0.301 0.250 0.916 Pt
0.699 0.750 0.084 Pt
0.801 0.250 0.584 Pt
```


# 5
A plane-wave DFT calculation with SCAN was carried out for Ti3NiIr at its PBEsol-relaxed geometry.

Uncorrected energy ... -26.8323 eV/atom
M_tot ... 0.000 Bohr magnetons per cell
Space group ... Pm-3m, No. 221

The structure in POSCAR format:
```
Ti3NiIr
1.0
4.357 0.000 0.000
0.000 4.357 0.000
0.000 0.000 4.357
Ti Ni Ir
3 1 1
direct
0.000 0.000 0.500 Ti
0.000 0.500 0.000 Ti
0.500 0.000 0.000 Ti
0.000 0.000 0.000 Ni
0.500 0.500 0.500 Ir
```


# 6
A plane-wave DFT calculation with SCAN was carried out for ScTl2In at its PBEsol-relaxed geometry.

Uncorrected energy ... -48.2102 eV/atom
M_tot ... 0.000 Bohr magnetons per cell
Space group ... P4/mmm, No. 123

The structure in POSCAR format:
```
ScTl2In
1.0
3.837 0.000 0.000
0.000 3.837 0.000
0.000 0.000 6.541
Sc Tl In
1 2 1
direct
0.000 0.000 0.000 Sc
0.500 0.500 0.245 Tl
0.500 0.500 0.755 Tl
0.000 0.000 0.500 In
```


# 7
A plane-wave DFT calculation with SCAN was carried out for Ta4Mo3 at its PBEsol-relaxed geometry.

Uncorrected energy ... -53.1023 eV/atom
M_tot ... 0.000 Bohr magnetons per cell
Space group ... R-3m, No. 166
Offset from the most stable computed form ... 45.5 meV per atom

The structure in POSCAR format:
```
Ta4Mo3
1.0
2.278 1.315 6.416
-2.278 1.315 6.416
0.000 -2.630 6.416
Ta Mo
4 3
direct
0.075 0.075 0.075 Ta
0.356 0.356 0.356 Ta
0.644 0.644 0.644 Ta
0.925 0.925 0.925 Ta
0.214 0.214 0.214 Mo
0.500 0.500 0.500 Mo
0.786 0.786 0.786 Mo
```


# 8
A plane-wave DFT calculation with SCAN was carried out for ScCoSi at its PBEsol-relaxed geometry.

Uncorrected energy ... -14.6526 eV/atom
M_tot ... 0.000 Bohr magnetons per cell
Space group ... Pnma, No. 62
Uncorrected formation energy ... -2.401 eV/f.u.

The structure in POSCAR format:
```
ScCoSi
1.0
6.383 0.000 0.000
0.000 3.954 0.000
0.000 0.000 6.724
Sc Co Si
4 4 4
direct
0.009 0.250 0.193 Sc
0.491 0.750 0.693 Sc
0.509 0.250 0.307 Sc
0.991 0.750 0.807 Sc
0.151 0.750 0.439 Co
0.349 0.250 0.939 Co
0.651 0.750 0.061 Co
0.849 0.250 0.561 Co
0.205 0.250 0.611 Si
0.295 0.750 0.111 Si
0.705 0.250 0.889 Si
0.795 0.750 0.389 Si
```


# 9
A plane-wave DFT calculation with SCAN was carried out for YPtAuSe2 at its PBEsol-relaxed geometry.

Uncorrected energy ... -41.0993 eV/atom
M_tot ... 0.000 Bohr magnetons per cell
Space group ... P4/mmm, No. 123
Uncorrected formation energy ... 1.853 eV/f.u.

The structure in POSCAR format:
```
YPtAuSe2
1.0
4.831 0.000 0.000
0.000 4.831 0.000
0.000 0.000 5.457
Y Pt Au Se
1 1 1 2
direct
0.000 0.000 0.000 Y
0.500 0.500 0.000 Pt
0.000 0.000 0.500 Au
0.000 0.500 0.500 Se
0.500 0.000 0.500 Se
```


# 10
A plane-wave DFT calculation with SCAN was carried out for In2FeIr at its PBEsol-relaxed geometry.

Uncorrected energy ... -38.9193 eV/atom
M_tot ... 3.429 Bohr magnetons per cell
Space group ... P4mm, No. 99

The structure in POSCAR format:
```
In2FeIr
1.0
2.963 0.000 0.000
0.000 2.963 0.000
0.000 0.000 7.961
In Fe Ir
2 1 1
direct
0.000 0.000 0.000 In
0.500 0.500 0.348 In
0.500 0.500 0.770 Fe
0.000 0.000 0.589 Ir
```


# 11
A plane-wave DFT calculation with SCAN was carried out for CaTe2Se at its PBEsol-relaxed geometry.

Uncorrected energy ... -25.9795 eV/atom
M_tot ... 0.000 Bohr magnetons per cell
Space group ... R-3m, No. 166
Uncorrected formation energy ... 0.326 eV/f.u.

The structure in POSCAR format:
```
CaTe2Se
1.0
1.980 1.143 9.603
-1.980 1.143 9.603
0.000 -2.287 9.603
Ca Te Se
1 2 1
direct
0.000 0.000 0.000 Ca
0.105 0.105 0.105 Te
0.895 0.895 0.895 Te
0.500 0.500 0.500 Se
```


# 12
A plane-wave DFT calculation with SCAN was carried out for PdPbC3 at its PBEsol-relaxed geometry.

Uncorrected energy ... -25.2120 eV/atom
M_tot ... 0.013 Bohr magnetons per cell
Space group ... Pm-3m, No. 221

The structure in POSCAR format:
```
PdPbC3
1.0
4.085 0.000 0.000
0.000 4.085 0.000
0.000 0.000 4.085
Pd Pb C
1 1 3
direct
0.000 0.000 0.000 Pd
0.500 0.500 0.500 Pb
0.000 0.000 0.500 C
0.000 0.500 0.000 C
0.500 0.000 0.000 C
```